NaCaMg3: single point on PBEsol structure, meta-GGA SCAN.

abc: 6.046 6.046 6.046
angles: 90.00 90.00 90.00
Positions (direct):
Na  0.000  0.000  0.000
Ca  0.500  0.500  0.500
Mg  0.000  0.500  0.500
Mg  0.500  0.000  0.500
Mg  0.500  0.500  0.000

Magnetic moment: 0.00 μB per cell
Calculated total energy: -5.01 eV per atom
Energy relative to the elements: 3.76 eV/f.u.

La3AlSb: single point on PBEsol structure, meta-GGA SCAN.

abc: 5.891 5.891 5.891
angles: 90.00 90.00 90.00
Positions (direct):
La  0.000  0.000  0.500
La  0.000  0.500  0.000
La  0.500  0.000  0.000
Al  0.500  0.500  0.500
Sb  0.000  0.000  0.000

Magnetic moment: 0.00 μB per cell
Formation energy (no corrections): -0.088 eV per atom
Calculated total energy: -34.95 eV per atom

BaP10: single point on PBEsol structure, meta-GGA SCAN.

abc: 7.005 7.005 11.782
angles: 90.00 90.00 125.51
Positions (direct):
Ba  0.189  0.811  0.500
Ba  0.811  0.189  0.000
P  0.070  0.930  0.055
P  0.095  0.905  0.773
P  0.129  0.385  0.665
P  0.197  0.803  0.925
P  0.227  0.269  0.818
P  0.269  0.227  0.318
P  0.381  0.619  0.105
P  0.385  0.129  0.165
P  0.402  0.598  0.287
P  0.451  0.549  0.561
P  0.549  0.451  0.061
P  0.598  0.402  0.787
P  0.615  0.871  0.665
P  0.619  0.381  0.605
P  0.731  0.773  0.818
P  0.773  0.731  0.318
P  0.803  0.197  0.425
P  0.871  0.615  0.165
P  0.905  0.095  0.273
P  0.930  0.070  0.555

Magnetic moment: 0.00 μB per cell
Calculated total energy: -13.36 eV per atom
Energy relative to the elements: -3.47 eV/f.u.

Sc2AgGe2: single point on PBEsol structure, meta-GGA SCAN.

abc: 6.761 6.761 3.972
angles: 90.00 90.00 90.00
Positions (direct):
Sc  0.173  0.327  0.000
Sc  0.327  0.827  0.000
Sc  0.673  0.173  0.000
Sc  0.827  0.673  0.000
Ag  0.000  0.000  0.500
Ag  0.500  0.500  0.500
Ge  0.130  0.630  0.500
Ge  0.370  0.130  0.500
Ge  0.630  0.870  0.500
Ge  0.870  0.370  0.500

Magnetic moment: 0.00 μB per cell
Calculated total energy: -20.33 eV per atom
Energy relative to the elements: -3.61 eV/f.u.

ZrFe2P: single point on PBEsol structure, meta-GGA SCAN.

abc: 4.765 4.765 4.765
angles: 136.53 136.53 63.16
Positions (direct):
Zr  0.000  0.000  0.000
Fe  0.500  0.500  0.000
Fe  0.750  0.250  0.500
P  0.250  0.750  0.500

Magnetic moment: 0.01 μB per cell
Calculated total energy: -19.48 eV per atom
Energy relative to the elements: -0.56 eV/f.u.

AgAsIrBr2: single point on PBEsol structure, meta-GGA SCAN.

abc: 4.952 4.952 5.053
angles: 90.00 90.00 90.00
Positions (direct):
Ag  0.000  0.000  0.000
As  0.000  0.000  0.500
Ir  0.500  0.500  0.500
Br  0.000  0.500  0.000
Br  0.500  0.000  0.000

Magnetic moment: 1.79 μB per cell
Formation energy (no corrections): 1.404 eV per atom
Calculated total energy: -30.91 eV per atom

CaLa2Zn: single point on PBEsol structure, meta-GGA SCAN.

abc: 6.572 6.572 5.523
angles: 114.78 114.78 33.77
Positions (direct):
Ca  0.000  0.000  0.000
La  0.211  0.211  0.709
La  0.425  0.425  0.425
Zn  0.707  0.707  0.206

Magnetic moment: 0.00 μB per cell
Calculated total energy: -27.44 eV per atom
Energy relative to the elements: -0.37 eV/f.u.

MgSc2Tc: single point on PBEsol structure, meta-GGA SCAN.

abc: 3.489 3.489 6.413
angles: 90.00 90.00 90.00
Positions (direct):
Mg  0.000  0.000  0.000
Sc  0.000  0.000  0.572
Sc  0.500  0.500  0.296
Tc  0.500  0.500  0.738

Magnetic moment: 0.00 μB per cell
Calculated total energy: -17.07 eV per atom
Energy relative to the elements: 0.22 eV/f.u.

TlRu2Se: single point on PBEsol structure, meta-GGA SCAN.

abc: 4.494 4.494 4.494
angles: 60.00 60.00 60.00
Positions (direct):
Tl  0.000  0.000  0.000
Ru  0.250  0.250  0.250
Ru  0.750  0.750  0.750
Se  0.500  0.500  0.500

E above lowest polymorph: 303 meV per atom
Magnetic moment: 0.00 μB per cell
Formation energy (no corrections): 0.688 eV per atom
Calculated total energy: -39.83 eV per atom

Na3SnHg: single point on PBEsol structure, meta-GGA SCAN.

abc: 5.876 5.876 5.876
angles: 90.00 90.00 90.00
Positions (direct):
Na  0.000  0.000  0.500
Na  0.000  0.500  0.000
Na  0.500  0.000  0.000
Sn  0.000  0.000  0.000
Hg  0.500  0.500  0.500

Magnetic moment: 1.01 μB per cell
Calculated total energy: -23.30 eV per atom
Energy relative to the elements: 0.23 eV/f.u.

Hf2Be2Pb: single point on PBEsol structure, meta-GGA SCAN.

abc: 6.439 6.439 3.890
angles: 90.00 90.00 90.00
Positions (direct):
Hf  0.168  0.332  0.000
Hf  0.332  0.832  0.000
Hf  0.668  0.168  0.000
Hf  0.832  0.668  0.000
Be  0.113  0.613  0.500
Be  0.387  0.113  0.500
Be  0.613  0.887  0.500
Be  0.887  0.387  0.500
Pb  0.000  0.000  0.500
Pb  0.500  0.500  0.500

Magnetic moment: 0.00 μB per cell
Calculated total energy: -42.16 eV per atom
Energy relative to the elements: -0.98 eV/f.u.

BPSe2Br: single point on PBEsol structure, meta-GGA SCAN.

abc: 4.753 4.753 5.032
angles: 90.00 90.00 90.00
Positions (direct):
B  0.000  0.000  0.000
P  0.500  0.500  0.500
Se  0.000  0.500  0.500
Se  0.500  0.000  0.500
Br  0.500  0.500  0.000

Magnetic moment: 0.00 μB per cell
Formation energy (no corrections): 1.221 eV per atom
Calculated total energy: -14.27 eV per atom